# 1
Material: ZnSbTe2W
Method: DFT, SCAN
State: PBEsol geometry

Lattice parameters (Å, degrees): 5.252 5.252 5.242 90.00 90.00 90.00
Positions (direct):
Zn1 0.000 0.000 0.000
Sb1 0.500 0.500 0.000
Te1 0.000 0.500 0.500
Te2 0.500 0.000 0.500
W1 0.500 0.500 0.500

Properties
E_form (uncorrected), eV/atom: 0.78
Magnetic moment, μB per cell: 0.0
Total DFT energy (no corrections), eV/atom: -38.212
Space-group type: No. 123

# 2
Material: CrSbPb2
Method: DFT, SCAN
State: PBEsol geometry

Lattice parameters (Å, degrees): 3.334 3.334 30.852 90.00 90.00 120.00
Positions (direct):
Cr1 0.000 0.000 0.000
Cr2 0.333 0.667 0.667
Cr3 0.667 0.333 0.333
Sb1 0.000 0.000 0.500
Sb2 0.333 0.667 0.167
Sb3 0.667 0.333 0.833
Pb1 0.000 0.000 0.260
Pb2 0.000 0.000 0.740
Pb3 0.333 0.667 0.406
Pb4 0.333 0.667 0.927
Pb5 0.667 0.333 0.073
Pb6 0.667 0.333 0.594

Properties
E_form (uncorrected), eV/atom: 0.34
Magnetic moment, μB per cell: 12.4
Total DFT energy (no corrections), eV/atom: -51.461
Space-group type: No. 166